[1]
A plane-wave DFT calculation with PBE-GGA was carried out for a relaxed structure of AgSbAu6.

a b c (Å): 5.962 5.962 4.916
angles (deg): 90.00 90.00 120.00
Fractional coordinates of all 8 atoms:
Ag (0.000, 0.000, 0.000)
Sb (0.333, 0.667, 0.500)
Au (0.330, 0.165, 0.500)
Au (0.503, 0.006, 0.000)
Au (0.503, 0.497, 0.000)
Au (0.835, 0.165, 0.500)
Au (0.835, 0.670, 0.500)
Au (0.994, 0.497, 0.000)

Calculated values
- M_tot (μB per formula unit) = 0.0
- density of states at the Fermi level (states/eV/cell) = 2.71
- E (eV per cell) = -26.5
- energy relative to the elements, uncorrected (eV/atom) = 0.019

---

[2]
A plane-wave DFT calculation with PBE-GGA was carried out for a relaxed structure of InTeOs2.

a b c (Å): 3.017 3.017 9.202
angles (deg): 90.00 90.00 119.07
Fractional coordinates of all 4 atoms:
In (0.000, 0.000, 0.000)
Te (0.000, 0.000, 0.500)
Os (0.500, 0.500, 0.247)
Os (0.500, 0.500, 0.753)

Calculated values
- M_tot (μB per formula unit) = 0.0
- density of states at the Fermi level (states/eV/cell) = 4.32
- E (eV per cell) = -24.3
- energy relative to the elements, uncorrected (eV/atom) = 1.021

---

[3]
A plane-wave DFT calculation with PBE-GGA was carried out for a relaxed structure of Ta3Nb6Rh.

a b c (Å): 8.096 4.677 9.794
angles (deg): 90.00 105.71 90.00
Fractional coordinates of all 20 atoms:
Ta (0.050, 0.250, 0.400)
Ta (0.150, 0.750, 0.201)
Ta (0.250, 0.250, 0.004)
Ta (0.750, 0.750, 0.996)
Ta (0.850, 0.250, 0.799)
Ta (0.950, 0.750, 0.600)
Nb (0.049, 0.750, 0.897)
Nb (0.151, 0.250, 0.696)
Nb (0.256, 0.750, 0.500)
Nb (0.352, 0.750, 0.800)
Nb (0.353, 0.250, 0.306)
Nb (0.450, 0.750, 0.101)
Nb (0.550, 0.250, 0.899)
Nb (0.647, 0.750, 0.694)
Nb (0.648, 0.250, 0.200)
Nb (0.744, 0.250, 0.500)
Nb (0.849, 0.750, 0.304)
Nb (0.951, 0.250, 0.103)
Rh (0.451, 0.250, 0.601)
Rh (0.549, 0.750, 0.399)

Calculated values
- energy of formation (eV per atom) = -0.1280
- M_tot (μB per formula unit) = 0.0
- density of states at the Fermi level (states/eV/cell) = 21.67
- E (eV per cell) = -209.2

---

[4]
A plane-wave DFT calculation with PBE-GGA was carried out for a relaxed structure of HfScTaBr2.

a b c (Å): 4.957 4.957 5.664
angles (deg): 90.00 90.00 90.00
Fractional coordinates of all 5 atoms:
Hf (0.000, 0.000, 0.000)
Sc (0.500, 0.500, 0.000)
Ta (0.500, 0.500, 0.500)
Br (0.000, 0.500, 0.500)
Br (0.500, 0.000, 0.500)

Calculated values
- M_tot (μB per formula unit) = 1.9
- density of states at the Fermi level (states/eV/cell) = 7.77
- E (eV per cell) = -26.8
- energy relative to the elements, uncorrected (eV/atom) = 0.946

---

[5]
A plane-wave DFT calculation with PBE-GGA was carried out for a relaxed structure of ZrFe2Bi.

a b c (Å): 9.906 9.906 9.906
angles (deg): 155.86 155.86 34.41
Fractional coordinates of all 8 atoms:
Zr (0.000, 0.000, 0.000)
Zr (0.750, 0.250, 0.500)
Fe (0.064, 0.625, 0.939)
Fe (0.375, 0.314, 0.439)
Fe (0.686, 0.125, 0.061)
Fe (0.875, 0.936, 0.561)
Bi (0.250, 0.750, 0.500)
Bi (0.500, 0.500, 0.000)

Calculated values
- energy of formation (eV per atom) = 0.5376
- M_tot (μB per formula unit) = 4.5
- density of states at the Fermi level (states/eV/cell) = 7.68
- E (eV per cell) = -54.4

---

[6]
A plane-wave DFT calculation with PBE-GGA was carried out for a relaxed structure of AcErPb.

a b c (Å): 5.439 5.439 5.439
angles (deg): 60.00 60.00 60.00
Fractional coordinates of all 3 atoms:
Ac (0.000, 0.000, 0.000)
Er (0.500, 0.500, 0.500)
Pb (0.750, 0.750, 0.750)

Calculated values
- energy of formation (eV per atom) = -0.1383
- M_tot (μB per formula unit) = 0.0
- density of states at the Fermi level (states/eV/cell) = 4.07
- E (eV per cell) = -12.8

---

[7]
A plane-wave DFT calculation with PBE-GGA was carried out for a relaxed structure of ScBeNi.

a b c (Å): 3.843 3.843 3.324
angles (deg): 90.00 90.00 120.00
Fractional coordinates of all 3 atoms:
Sc (0.000, 0.000, 0.000)
Be (0.333, 0.667, 0.500)
Ni (0.667, 0.333, 0.500)

Calculated values
- energy of formation (eV per atom) = -0.2967
- M_tot (μB per formula unit) = 0.0
- density of states at the Fermi level (states/eV/cell) = 2.95
- E (eV per cell) = -16.7

---

[8]
A plane-wave DFT calculation with PBE-GGA was carried out for a relaxed structure of Th4Ag2Hg5.

a b c (Å): 8.023 3.435 10.433
angles (deg): 90.00 94.83 90.00
Fractional coordinates of all 11 atoms:
Th (0.169, 0.000, 0.386)
Th (0.272, 0.000, 0.944)
Th (0.728, 0.000, 0.056)
Th (0.831, 0.000, 0.614)
Ag (0.060, 0.500, 0.133)
Ag (0.940, 0.500, 0.867)
Hg (0.186, 0.500, 0.666)
Hg (0.434, 0.500, 0.199)
Hg (0.500, 0.500, 0.500)
Hg (0.566, 0.500, 0.801)
Hg (0.814, 0.500, 0.334)

Calculated values
- energy of formation (eV per atom) = -0.1637
- M_tot (μB per formula unit) = 0.0
- density of states at the Fermi level (states/eV/cell) = 9.69
- E (eV per cell) = -38.7

---

[9]
A plane-wave DFT calculation with PBE-GGA was carried out for a relaxed structure of Li2CuN.

a b c (Å): 4.954 4.954 3.287
angles (deg): 90.00 90.00 136.44
Fractional coordinates of all 4 atoms:
Li (0.123, 0.877, 0.000)
Li (0.877, 0.123, 0.000)
Cu (0.500, 0.500, 0.500)
N (0.000, 0.000, 0.500)

Calculated values
- M_tot (μB per formula unit) = 0.0
- density of states at the Fermi level (states/eV/cell) = 0.82
- E (eV per cell) = -16.8
- energy relative to the elements, uncorrected (eV/atom) = -0.146

---

[10]
A plane-wave DFT calculation with PBE-GGA was carried out for a relaxed structure of LaTlO2F.

a b c (Å): 4.428 4.428 4.481
angles (deg): 90.00 90.00 90.00
Fractional coordinates of all 5 atoms:
La (0.000, 0.000, 0.000)
Tl (0.500, 0.500, 0.500)
O (0.000, 0.500, 0.500)
O (0.500, 0.000, 0.500)
F (0.500, 0.500, 0.000)

Calculated values
- M_tot (μB per formula unit) = 0.4
- density of states at the Fermi level (states/eV/cell) = 4.26
- E (eV per cell) = -27.0
- energy relative to the elements, uncorrected (eV/atom) = -1.578

---

[11]
A plane-wave DFT calculation with PBE-GGA was carried out for a relaxed structure of SrLaGa.

a b c (Å): 6.956 7.077 8.265
angles (deg): 90.00 90.00 90.00
Fractional coordinates of all 12 atoms:
Sr (0.024, 0.250, 0.157)
Sr (0.476, 0.750, 0.657)
Sr (0.524, 0.250, 0.343)
Sr (0.976, 0.750, 0.843)
La (0.247, 0.750, 0.245)
La (0.253, 0.250, 0.745)
La (0.747, 0.750, 0.255)
La (0.753, 0.250, 0.755)
Ga (0.000, 0.000, 0.500)
Ga (0.000, 0.500, 0.500)
Ga (0.500, 0.000, 0.000)
Ga (0.500, 0.500, 0.000)

Calculated values
- energy of formation (eV per atom) = -0.2453
- M_tot (μB per formula unit) = 0.0
- density of states at the Fermi level (states/eV/cell) = 11.07
- E (eV per cell) = -41.5

---

[12]
A plane-wave DFT calculation with PBE-GGA was carried out for a relaxed structure of SrBe4Rh3O12.

a b c (Å): 6.350 6.350 6.350
angles (deg): 105.49 105.49 105.49
Fractional coordinates of all 20 atoms:
Sr (0.000, 0.000, 0.000)
Be (0.068, 0.500, 0.932)
Be (0.500, 0.500, 0.500)
Be (0.500, 0.932, 0.068)
Be (0.932, 0.068, 0.500)
Rh (0.000, 0.563, 0.437)
Rh (0.437, 0.000, 0.563)
Rh (0.563, 0.437, 0.000)
O (0.034, 0.630, 0.762)
O (0.088, 0.912, 0.500)
O (0.238, 0.370, 0.966)
O (0.345, 0.655, 0.500)
O (0.370, 0.966, 0.238)
O (0.500, 0.088, 0.912)
O (0.500, 0.345, 0.655)
O (0.630, 0.762, 0.034)
O (0.655, 0.500, 0.345)
O (0.762, 0.034, 0.630)
O (0.912, 0.500, 0.088)
O (0.966, 0.238, 0.370)

Calculated values
- M_tot (μB per formula unit) = 5.1
- density of states at the Fermi level (states/eV/cell) = 11.63
- E (eV per cell) = -129.0
- energy relative to the elements, uncorrected (eV/atom) = -1.543

---

[13]
A plane-wave DFT calculation with PBE-GGA was carried out for a relaxed structure of CoNi2Pt6.

a b c (Å): 6.932 6.932 6.932
angles (deg): 45.30 45.30 45.30
Fractional coordinates of all 9 atoms:
Co (0.000, 0.000, 0.000)
Ni (0.224, 0.224, 0.224)
Ni (0.441, 0.441, 0.441)
Pt (0.236, 0.728, 0.728)
Pt (0.438, 0.934, 0.934)
Pt (0.728, 0.236, 0.728)
Pt (0.728, 0.728, 0.236)
Pt (0.934, 0.438, 0.934)
Pt (0.934, 0.934, 0.438)

Calculated values
- energy of formation (eV per atom) = 0.2763
- M_tot (μB per formula unit) = 4.7
- density of states at the Fermi level (states/eV/cell) = 12.86
- E (eV per cell) = -52.4

---

[14]
A plane-wave DFT calculation with PBE-GGA was carried out for a relaxed structure of LiZn3Ge.

a b c (Å): 4.926 4.926 4.926
angles (deg): 90.00 90.00 90.00
Fractional coordinates of all 5 atoms:
Li (0.000, 0.000, 0.000)
Zn (0.000, 0.500, 0.500)
Zn (0.500, 0.000, 0.500)
Zn (0.500, 0.500, 0.000)
Ge (0.500, 0.500, 0.500)

Calculated values
- energy of formation (eV per atom) = 0.3663
- M_tot (μB per formula unit) = 0.0
- density of states at the Fermi level (states/eV/cell) = 2.23
- E (eV per cell) = -8.5

---

[15]
A plane-wave DFT calculation with PBE-GGA was carried out for a relaxed structure of Pu2PbS.

a b c (Å): 3.422 3.422 8.244
angles (deg): 90.00 90.00 90.00
Fractional coordinates of all 4 atoms:
Pu (0.000, 0.000, 0.207)
Pu (0.000, 0.000, 0.793)
Pb (0.500, 0.500, 0.500)
S (0.500, 0.500, 0.000)

Calculated values
- M_tot (μB per formula unit) = 11.8
- density of states at the Fermi level (states/eV/cell) = 12.00
- E (eV per cell) = -39.7
- energy relative to the elements, uncorrected (eV/atom) = -0.804